# TbDy12Ho7 | Alexandria | PBE-GGA | relaxed
data_TbDy12Ho7
_cell_length_a 6.650
_cell_length_b 10.873
_cell_length_c 10.873
_cell_angle_alpha 64.05
_cell_angle_beta 78.24
_cell_angle_gamma 101.76
_space_group_name_H-M_alt 'P 1'
_space_group_IT_number 1
_space_group_name_Hall 'P 1'
loop_
_atom_site_label
_atom_site_type_symbol
_atom_site_fract_x
_atom_site_fract_y
_atom_site_fract_z
Dy1 Dy 0.068 0.576 0.213
Ho1 Ho 0.925 0.141 0.696
Dy2 Dy 0.932 0.424 0.787
Ho2 Ho 0.500 0.000 0.000
Dy3 Dy 0.493 0.211 0.576
Dy4 Dy 0.281 0.213 0.211
Tb1 Tb 0.000 0.000 0.000
Dy5 Dy 0.747 0.541 0.522
Ho3 Ho 0.621 0.696 0.164
Dy6 Dy 0.206 0.937 0.541
Ho4 Ho 0.215 0.836 0.859
Ho5 Ho 0.785 0.164 0.141
Dy7 Dy 0.719 0.787 0.789
Dy8 Dy 0.269 0.522 0.937
Dy9 Dy 0.507 0.789 0.424
Dy10 Dy 0.253 0.459 0.478
Ho6 Ho 0.379 0.304 0.836
Dy11 Dy 0.731 0.478 0.063
Ho7 Ho 0.075 0.859 0.304
Dy12 Dy 0.794 0.063 0.459
# **Excess energy over the best structure of this formula in the dataset**: 0.64 eV per formula unit
# **Space group**: R-3, No. 148
# **Electronic total energy**: -4.263 eV per atom
# **DOS(E_F)**: 26.50 states/eV/f.u.
# **Energy of formation**: 332 meV per atom